Crystalline MoS3Cl at its relaxed geometry. Source: the Alexandria database, functional PBE-GGA.

Lattice parameters (Å, degrees): 4.5924 4.5924 4.5924 90.00 90.00 90.00
Site moments in Bohr magnetons follow the coordinates.
Fractional positions:
Mo (0.5000, 0.5000, 0.5000)  3.15
S (0.0000, 0.5000, 0.0000)  -0.21
S (0.0000, 0.0000, 0.5000)  -0.12
S (0.5000, 0.0000, 0.0000)  -0.14
Cl (0.0000, 0.0000, 0.0000)  -0.01

Results
raw formation energy	1383	meV/atom
density of states at the Fermi level	3.09	states/eV/f.u.
raw total energy	-3.629	eV per atom